The following is a DFT calculation (PBE+U) of crystalline Li4V3Co3W2O16 at its relaxed geometry.

Lattice parameters (Å, degrees): 5.985 5.985 9.767 90.62 90.62 60.47
Positions (direct):
Li  0.000  0.000  0.000
Li  0.003  0.003  0.495
Li  0.332  0.332  0.915
Li  0.663  0.663  0.416
V  0.175  0.175  0.232
V  0.344  0.837  0.727
V  0.837  0.344  0.727
Co  0.169  0.657  0.219
Co  0.657  0.169  0.219
Co  0.830  0.830  0.721
W  0.340  0.340  0.498
W  0.666  0.666  0.999
O  0.002  0.002  0.811
O  0.010  0.010  0.304
O  0.038  0.465  0.361
O  0.179  0.179  0.602
O  0.179  0.660  0.593
O  0.316  0.316  0.118
O  0.350  0.832  0.099
O  0.465  0.038  0.361
O  0.476  0.476  0.360
O  0.514  0.959  0.861
O  0.520  0.520  0.861
O  0.660  0.179  0.593
O  0.660  0.660  0.617
O  0.829  0.829  0.094
O  0.832  0.350  0.099
O  0.959  0.514  0.861

Results
DFT total energy: -6.8321 eV/atom
M_tot: 14.000 μB per formula unit
V: 304 Å³/f.u.